1.
Material: Ce3Sb5S12
Method: DFT, PBE-GGA
State: optimized geometry

Results
formation energy (no corrections)	-0.754	eV/atom
VASP energy	-5.151	eV per atom
density of states at the Fermi level	1.032	states/eV per atom
spin magnetization	3.069	μB/f.u.

```
data_Ce3Sb5S12
_chemical_formula_sum 'Ce24 Sb40 S96'
_cell_length_a 16.338
_cell_length_b 16.338
_cell_length_c 16.338
_cell_angle_alpha 90.00
_cell_angle_beta 90.00
_cell_angle_gamma 90.00
_symmetry_space_group_name_H-M 'I a -3 d'
_symmetry_Int_Tables_number 230
_symmetry_space_group_name_Hall '-I 4bd 2c 3'
loop_
_atom_site_label
_atom_site_type_symbol
_atom_site_fract_x
_atom_site_fract_y
_atom_site_fract_z
Ce1 Ce 0.000 0.250 0.125
Sb1 Sb 0.000 0.000 0.000
Sb2 Sb 0.000 0.250 0.375
S1 S 0.017 0.066 0.653
```

2.
Material: Ce2Sb2S7
Method: DFT, PBE-GGA
State: optimized geometry

Results
formation energy (no corrections)	-1.003	eV/atom
VASP energy	-5.458	eV per atom
density of states at the Fermi level	0.149	states/eV per atom
spin magnetization	0.275	μB/f.u.

```
data_Ce2Sb2S7
_chemical_formula_sum 'Ce4 Sb4 S14'
_cell_length_a 4.000
_cell_length_b 15.053
_cell_length_c 8.694
_cell_angle_alpha 90.00
_cell_angle_beta 90.00
_cell_angle_gamma 90.00
_symmetry_space_group_name_H-M 'I m m 2'
_symmetry_Int_Tables_number 44
_symmetry_space_group_name_Hall 'I 2 -2'
loop_
_atom_site_label
_atom_site_type_symbol
_atom_site_fract_x
_atom_site_fract_y
_atom_site_fract_z
Ce1 Ce 0.000 0.000 0.000
Ce2 Ce 0.000 0.500 0.041
Sb1 Sb 0.000 0.269 0.328
S1 S 0.000 0.000 0.329
S2 S 0.000 0.099 0.727
S3 S 0.000 0.314 0.955
S4 S 0.000 0.375 0.553
```

3.
Material: Ce2SbS5
Method: DFT, PBE-GGA
State: optimized geometry

Results
formation energy (no corrections)	-1.323	eV/atom
offset from the most stable computed form	48.9	meV per atom
VASP energy	-5.902	eV per atom
density of states at the Fermi level	1.006	states/eV per atom
spin magnetization	1.038	μB/f.u.

```
data_Ce2SbS5
_chemical_formula_sum 'Ce8 Sb4 S20'
_cell_length_a 5.414
_cell_length_b 13.449
_cell_length_c 13.354
_cell_angle_alpha 90.00
_cell_angle_beta 90.00
_cell_angle_gamma 90.00
_symmetry_space_group_name_H-M 'C m c m'
_symmetry_Int_Tables_number 63
_symmetry_space_group_name_Hall '-C 2c 2'
loop_
_atom_site_label
_atom_site_type_symbol
_atom_site_fract_x
_atom_site_fract_y
_atom_site_fract_z
Ce1 Ce 0.000 0.147 0.064
Sb1 Sb 0.000 0.186 0.750
S1 S 0.000 0.050 0.617
S2 S 0.000 0.255 0.250
S3 S 0.000 0.309 0.569
```